1.
A plane-wave DFT calculation with SCAN was carried out for ScCo2Ir at its PBEsol-relaxed geometry.

Cell: 3.7666 3.7666 3.6990 Å, 90.00 90.00 90.00°
Last column: magnetic moment on the atom in μB.
Atoms (fractional coordinates):
Sc: 0.0000 0.0000 0.5000  -0.14
Ir: 0.5000 0.5000 0.5000  0.22
Co: 0.5000 0.0000 0.0000  1.67
Co: 0.0000 0.5000 0.0000  1.67

Output
- ΔH_f (0 K) (eV per formula unit) = -1.45

2.
A plane-wave DFT calculation with SCAN was carried out for BaLi2Co at its PBEsol-relaxed geometry.

Cell: 3.8647 3.9732 6.6105 Å, 90.00 106.91 90.00°
Last column: magnetic moment on the atom in μB.
Atoms (fractional coordinates):
Ba: 0.4806 0.0000 0.5856  -0.17
Li: 0.2059 0.0000 0.0365  -0.02
Co: 0.0869 0.5000 0.7991  1.64
Li: 0.7266 0.5000 0.0787  -0.01

Output
- polymorph energy (0 for the lowest one) (meV/atom) = 0
- ΔH_f (0 K) (eV per formula unit) = 1.44

3.
A plane-wave DFT calculation with SCAN was carried out for SnHPt3 at its PBEsol-relaxed geometry.

Cell: 4.0719 4.0719 4.0719 Å, 90.00 90.00 90.00°
Atoms (fractional coordinates):
Pt: 0.5000 0.0000 0.0000
Pt: 0.0000 0.5000 0.0000
Pt: 0.0000 0.0000 0.5000
Sn: 0.5000 0.5000 0.5000
H: 0.0000 0.0000 0.0000

4.
A plane-wave DFT calculation with SCAN was carried out for CsK2Tl2 at its PBEsol-relaxed geometry.

Cell: 4.8014 9.7165 9.7165 Å, 90.00 90.00 90.00°
Atoms (fractional coordinates):
Tl: 0.0000 0.8899 0.6101
Tl: 0.0000 0.3899 0.8899
K: 0.5000 0.3275 0.1725
Tl: 0.0000 0.6101 0.1101
K: 0.5000 0.1725 0.6725
Tl: 0.0000 0.1101 0.3899
Cs: 0.0000 0.5000 0.5000
Cs: 0.0000 0.0000 0.0000
K: 0.5000 0.8275 0.3275
K: 0.5000 0.6725 0.8275

Output
- ΔH_f (0 K) (eV per formula unit) = -0.47

5.
A plane-wave DFT calculation with SCAN was carried out for Ag2Cl at its PBEsol-relaxed geometry.

Cell: 3.2288 3.2288 12.1051 Å, 90.00 90.00 120.00°
Atoms (fractional coordinates):
Ag: 0.3333 0.6667 0.9149
Ag: 0.6667 0.3333 0.4149
Ag: 0.3333 0.6667 0.5851
Cl: 0.0000 0.0000 0.2500
Cl: 0.0000 0.0000 0.7500
Ag: 0.6667 0.3333 0.0851

Output
- formation energy without anion corrections (eV/atom) = -0.1932
- polymorph energy (0 for the lowest one) (meV/atom) = 94

6.
A plane-wave DFT calculation with SCAN was carried out for Zn2RuCl at its PBEsol-relaxed geometry.

Cell: 2.8933 4.2241 4.6874 Å, 90.00 90.00 90.00°
Atoms (fractional coordinates):
Cl: 0.5000 0.0000 0.5000
Ru: 0.0000 0.5000 0.5000
Zn: 0.5000 0.5000 0.0000
Zn: 0.0000 0.0000 0.0000

Output
- formation energy without anion corrections (eV/atom) = 0.4209
- polymorph energy (0 for the lowest one) (meV/atom) = 145

7.
A plane-wave DFT calculation with SCAN was carried out for PbAuN3 at its PBEsol-relaxed geometry.

Cell: 4.3215 4.3215 4.3215 Å, 90.00 90.00 90.00°
Last column: magnetic moment on the atom in μB.
Atoms (fractional coordinates):
Au: 0.5000 0.5000 0.5000  0.09
N: 0.0000 0.5000 0.0000  1.03
N: 0.0000 0.0000 0.5000  1.03
Pb: 0.0000 0.0000 0.0000  -0.09
N: 0.5000 0.0000 0.0000  1.03

Output
- formation energy without anion corrections (eV/atom) = 2.4517

8.
A plane-wave DFT calculation with SCAN was carried out for KCo2SnC at its PBEsol-relaxed geometry.

Cell: 4.7330 4.7330 6.6317 Å, 90.00 90.00 90.00°
Last column: magnetic moment on the atom in μB.
Atoms (fractional coordinates):
Co: 0.5000 0.0000 0.0000  1.99
Sn: 0.0000 0.0000 0.0000  -0.04
Co: 0.0000 0.5000 0.0000  1.99
C: 0.5000 0.5000 0.5000  1.15
K: 0.0000 0.0000 0.5000  0.02

Output
- ΔH_f (0 K) (eV per formula unit) = 9.84

9.
A plane-wave DFT calculation with SCAN was carried out for CuBr at its PBEsol-relaxed geometry.

Cell: 4.0739 4.0739 5.7504 Å, 90.00 90.00 120.00°
Atoms (fractional coordinates):
Br: 0.6667 0.3333 0.2500
Cu: 0.0000 0.0000 0.2500
Cu: 0.0000 0.0000 0.7500
Br: 0.3333 0.6667 0.7500

Output
- formation energy without anion corrections (eV/atom) = -0.2191

10.
A plane-wave DFT calculation with SCAN was carried out for KBaSr at its PBEsol-relaxed geometry.

Cell: 4.2044 4.2044 11.0878 Å, 96.68 96.68 112.73°
Atoms (fractional coordinates):
Sr: 0.6619 0.6619 0.3238
K: 0.3322 0.3322 0.6643
Ba: 0.0059 0.0059 0.0119

Output
- polymorph energy (0 for the lowest one) (meV/atom) = 0
- ΔH_f (0 K) (eV per formula unit) = 0.21

11.
A plane-wave DFT calculation with SCAN was carried out for TaMn4Cr at its PBEsol-relaxed geometry.

Cell: 4.6433 4.6433 4.6433 Å, 60.00 60.00 60.00°
Last column: magnetic moment on the atom in μB.
Atoms (fractional coordinates):
Mn: 0.6247 0.1259 0.6247  -0.91
Cr: 0.0000 0.0000 0.0000  2.76
Ta: 0.2500 0.2500 0.2500  0.24
Mn: 0.6247 0.6247 0.6247  -0.91
Mn: 0.6247 0.6247 0.1259  -0.91
Mn: 0.1259 0.6247 0.6247  -0.91

Output
- ΔH_f (0 K) (eV per formula unit) = -0.04

12.
A plane-wave DFT calculation with SCAN was carried out for ZnCoAg2 at its PBEsol-relaxed geometry.

Cell: 3.8886 3.8886 4.6614 Å, 114.65 114.65 90.00°
Last column: magnetic moment on the atom in μB.
Atoms (fractional coordinates):
Co: 0.5000 0.5000 0.0000  1.86
Ag: 0.2500 0.7500 0.5000  -0.01
Ag: 0.7500 0.2500 0.5000  -0.01
Zn: 0.0000 0.0000 0.0000  -0.03

Output
- ΔH_f (0 K) (eV per formula unit) = 0.62

no.,E (eV/cell)
1,-121.39
2,-60.19
3,-250.09
4,-399.31
5,-142.58
6,-68.15
7,-160.55
8,-79.12
9,-70.19
10,-69.94
11,-158.03
12,-92.94